Material: NpCuSi
Method: DFT, GGA-PBE
State: relaxed

Summary:
**E**: -21.34 eV per formula unit
**Crystal system**: tetragonal
**Volume**: 19.05 Å³ per atom
**Uncorrected formation energy**: 0.373 eV per atom

The structure in CIF format:
```
data_NpCuSi
_symmetry_space_group_name_H-M 'I 4 m m'
_symmetry_Int_Tables_number 107
_symmetry_space_group_name_Hall 'I 4 -2'
_cell_length_a 3.751
_cell_length_b 3.751
_cell_length_c 8.125
_cell_angle_alpha 90.00
_cell_angle_beta 90.00
_cell_angle_gamma 90.00
loop_
_atom_site_label
_atom_site_type_symbol
_atom_site_fract_x
_atom_site_fract_y
_atom_site_fract_z
Np1 Np 0.000 0.000 0.000
Cu1 Cu 0.000 0.000 0.664
Si1 Si 0.000 0.000 0.350
```